1.
ZrWCl2O at its PBEsol-relaxed geometry, computed with meta-GGA SCAN.

a = 3.7353 Å, b = 4.9206 Å, c = 4.9206 Å
α = 90.00°, β = 90.00°, γ = 90.00°
Last column: nearest neighbours and their distance in Å.
Fractional coordinates of all 5 atoms:
Cl: 0.0000 0.0000 0.5000  2 W 2.46
Cl: 0.0000 0.5000 0.0000  2 W 2.46
O: 0.5000 0.0000 0.0000  2 W 1.87
Zr: 0.5000 0.5000 0.5000  8 Cl 3.09
W: 0.0000 0.0000 0.0000  2 O 1.87

- Polymorph energy (0 for the lowest one): 0 meV per atom
- V: 90.4 Å³ per cell


2.
Zr2WClO at its PBEsol-relaxed geometry, computed with meta-GGA SCAN.

a = 4.1749 Å, b = 4.1749 Å, c = 4.9563 Å
α = 90.00°, β = 90.00°, γ = 90.00°
Last column: nearest neighbours and their distance in Å.
Fractional coordinates of all 5 atoms:
Zr: 0.0000 0.5000 0.0000  2 O 2.09
Zr: 0.5000 0.0000 0.0000  2 O 2.09
W: 0.5000 0.5000 0.5000  4 Cl 2.95, 8 Zr 3.24
O: 0.0000 0.0000 0.0000  4 Zr 2.09
Cl: 0.0000 0.0000 0.5000  2 O 2.48

- V: 86.4 Å³ per cell


3.
ZrWCl2O at its PBEsol-relaxed geometry, computed with meta-GGA SCAN.

a = 4.7455 Å, b = 4.7455 Å, c = 5.4706 Å
α = 90.00°, β = 90.00°, γ = 90.00°
Last column: nearest neighbours and their distance in Å.
Fractional coordinates of all 5 atoms:
W: 0.0000 0.0000 0.5000  2 Zr 2.74
Cl: 0.5000 0.0000 0.0000  2 Zr 2.37
Cl: 0.0000 0.5000 0.0000  2 Zr 2.37
O: 0.5000 0.5000 0.5000  4 W 3.36, 8 Cl 3.62
Zr: 0.0000 0.0000 0.0000  4 Cl 2.37

- Polymorph energy (0 for the lowest one): 895 meV per atom
- V: 123.2 Å³ per cell


4.
YCl2O at its PBEsol-relaxed geometry, computed with meta-GGA SCAN.

a = 4.5529 Å, b = 4.5529 Å, c = 4.5529 Å
α = 60.00°, β = 60.00°, γ = 60.00°
Last column: nearest neighbours and their distance in Å.
Fractional coordinates of all 4 atoms:
Y: 0.5000 0.5000 0.5000  8 Cl 2.79
O: 0.0000 0.0000 0.0000  8 Cl 2.79
Cl: 0.2500 0.2500 0.2500  4 Y 2.79, 4 O 2.79
Cl: 0.7500 0.7500 0.7500  4 Y 2.79, 4 O 2.79

- V: 66.7 Å³ per cell


E_tot, record by record: -24.66, -29.35, -23.77, -14.07 eV per atom
Theoretical density, record by record: 6.646, 8.030, 4.879, 4.375 Mg/m³
Formation energy without anion corrections, record by record: -148, -286, 748, -1559 meV/atom